Below is a geometry-optimized CaHo2Cd5 structure, with properties calculated at the PBE level.

Values from the calculation:
- Energy of formation from the pure elements: -0.2794 eV per atom
- DOS at the Fermi energy: 0.594 states/eV per atom
- M_tot: 0.0 μB/cell

CIF file:
```
data_CaHo2Cd5
_chemical_formula_sum 'Ca2 Ho4 Cd10'
_cell_length_a 5.128
_cell_length_b 5.128
_cell_length_c 15.241
_cell_angle_alpha 90.00
_cell_angle_beta 90.00
_cell_angle_gamma 90.00
_symmetry_space_group_name_H-M 'I 4/m m m'
_symmetry_Int_Tables_number 139
_symmetry_space_group_name_Hall '-I 4 2'
loop_
_atom_site_label
_atom_site_fract_x
_atom_site_fract_y
_atom_site_fract_z
Ca1 0.000 0.000 0.000
Ho1 0.000 0.000 0.261
Cd1 0.000 0.000 0.500
Cd2 0.000 0.500 0.122
```


Below is a geometry-optimized MgBeHg2 structure, with properties calculated at the PBE level.

Values from the calculation:
- Energy of formation from the pure elements: 0.2173 eV per atom
- DOS at the Fermi energy: 0.303 states/eV per atom
- M_tot: 0.0 μB/cell
- Energy above the lowest structure with this stoichiometry: 59.2 meV per atom

CIF file:
```
data_MgBeHg2
_chemical_formula_sum 'Mg4 Be4 Hg8'
_cell_length_a 6.648
_cell_length_b 6.648
_cell_length_c 6.648
_cell_angle_alpha 90.00
_cell_angle_beta 90.00
_cell_angle_gamma 90.00
_symmetry_space_group_name_H-M 'F m -3 m'
_symmetry_Int_Tables_number 225
_symmetry_space_group_name_Hall '-F 4 2 3'
loop_
_atom_site_label
_atom_site_fract_x
_atom_site_fract_y
_atom_site_fract_z
Mg1 0.000 0.000 0.000
Be1 0.000 0.000 0.500
Hg1 0.250 0.250 0.250
```


Below is a geometry-optimized Tl3PPt structure, with properties calculated at the PBE level.

Values from the calculation:
- Energy of formation from the pure elements: 0.6593 eV per atom
- DOS at the Fermi energy: 0.284 states/eV per atom
- M_tot: 0.0 μB/cell
- Energy above the lowest structure with this stoichiometry: 298.4 meV per atom

CIF file:
```
data_Tl3PPt
_chemical_formula_sum 'Tl3 P1 Pt1'
_cell_length_a 5.257
_cell_length_b 5.257
_cell_length_c 5.257
_cell_angle_alpha 90.00
_cell_angle_beta 90.00
_cell_angle_gamma 90.00
_symmetry_space_group_name_H-M 'P m -3 m'
_symmetry_Int_Tables_number 221
_symmetry_space_group_name_Hall '-P 4 2 3'
loop_
_atom_site_label
_atom_site_fract_x
_atom_site_fract_y
_atom_site_fract_z
Tl1 0.000 0.000 0.500
P1 0.000 0.000 0.000
Pt1 0.500 0.500 0.500
```


Below is a geometry-optimized Li3Bi4Pd4 structure, with properties calculated at the PBE level.

Values from the calculation:
- Energy of formation from the pure elements: -0.2913 eV per atom
- DOS at the Fermi energy: 0.477 states/eV per atom
- M_tot: 0.0 μB/cell

CIF file:
```
data_Li3Bi4Pd4
_chemical_formula_sum 'Li6 Bi8 Pd8'
_cell_length_a 3.200
_cell_length_b 4.681
_cell_length_c 31.177
_cell_angle_alpha 90.00
_cell_angle_beta 90.00
_cell_angle_gamma 90.00
_symmetry_space_group_name_H-M 'I m m m'
_symmetry_Int_Tables_number 71
_symmetry_space_group_name_Hall '-I 2 2'
loop_
_atom_site_label
_atom_site_fract_x
_atom_site_fract_y
_atom_site_fract_z
Li1 0.000 0.000 0.000
Li2 0.000 0.500 0.142
Bi1 0.000 0.000 0.445
Bi2 0.000 0.500 0.313
Pd1 0.000 0.000 0.266
Pd2 0.000 0.500 0.400
```


Below is a geometry-optimized HgSb2Ru2 structure, with properties calculated at the PBE level.

Values from the calculation:
- DOS at the Fermi energy: 0.636 states/eV per atom
- M_tot: 0.0 μB/cell
- Energy above the lowest structure with this stoichiometry: 0.0 meV per atom
- E_form (uncorrected): 105.4 meV per atom

CIF file:
```
data_HgSb2Ru2
_chemical_formula_sum 'Hg2 Sb4 Ru4'
_cell_length_a 7.759
_cell_length_b 7.759
_cell_length_c 3.180
_cell_angle_alpha 90.00
_cell_angle_beta 90.00
_cell_angle_gamma 90.00
_symmetry_space_group_name_H-M 'P 4/m b m'
_symmetry_Int_Tables_number 127
_symmetry_space_group_name_Hall '-P 4 2ab'
loop_
_atom_site_label
_atom_site_fract_x
_atom_site_fract_y
_atom_site_fract_z
Hg1 0.000 0.000 0.000
Sb1 0.149 0.351 0.500
Ru1 0.141 0.641 0.000
```


Below is a geometry-optimized PmZnNi structure, with properties calculated at the PBE level.

Values from the calculation:
- Energy of formation from the pure elements: -0.3501 eV per atom
- DOS at the Fermi energy: 0.952 states/eV per atom
- M_tot: 0.0 μB/cell
- Energy above the lowest structure with this stoichiometry: 46.6 meV per atom

CIF file:
```
data_PmZnNi
_chemical_formula_sum 'Pm1 Zn1 Ni1'
_cell_length_a 4.2605
_cell_length_b 4.2605
_cell_length_c 3.7915
_cell_angle_alpha 90.00
_cell_angle_beta 90.00
_cell_angle_gamma 120.00
_symmetry_space_group_name_H-M 'P -6 m 2'
_symmetry_Int_Tables_number 187
_symmetry_space_group_name_Hall 'P -6 2'
loop_
_atom_site_label
_atom_site_fract_x
_atom_site_fract_y
_atom_site_fract_z
Pm1 0.0000 0.0000 0.0000
Zn1 0.3333 0.6667 0.5000
Ni1 0.6667 0.3333 0.5000
```


Below is a geometry-optimized NbTcAg2 structure, with properties calculated at the PBE level.

Values from the calculation:
- Energy of formation from the pure elements: 0.7161 eV per atom
- DOS at the Fermi energy: 1.392 states/eV per atom
- M_tot: 0.0 μB/cell

CIF file:
```
data_NbTcAg2
_chemical_formula_sum 'Nb4 Tc4 Ag8'
_cell_length_a 6.485
_cell_length_b 6.485
_cell_length_c 6.485
_cell_angle_alpha 90.00
_cell_angle_beta 90.00
_cell_angle_gamma 90.00
_symmetry_space_group_name_H-M 'F m -3 m'
_symmetry_Int_Tables_number 225
_symmetry_space_group_name_Hall '-F 4 2 3'
loop_
_atom_site_label
_atom_site_fract_x
_atom_site_fract_y
_atom_site_fract_z
Nb1 0.000 0.000 0.000
Tc1 0.000 0.000 0.500
Ag1 0.250 0.250 0.250
```


Below is a geometry-optimized BaHfPa2S8 structure, with properties calculated at the PBE level.

Values from the calculation:
- M_tot: 0.0 μB/cell
- E_form (uncorrected): -1536.5 meV per atom

CIF file:
```
data_BaHfPa2S8
_chemical_formula_sum 'Ba1 Hf1 Pa2 S8'
_cell_length_a 6.109
_cell_length_b 8.427
_cell_length_c 6.396
_cell_angle_alpha 90.00
_cell_angle_beta 91.73
_cell_angle_gamma 90.00
_symmetry_space_group_name_H-M 'P 1 2/m 1'
_symmetry_Int_Tables_number 10
_symmetry_space_group_name_Hall '-P 2y'
loop_
_atom_site_label
_atom_site_fract_x
_atom_site_fract_y
_atom_site_fract_z
Ba1 0.000 0.000 0.000
Hf1 0.000 0.500 0.000
Pa1 0.500 0.255 0.500
S1 0.242 0.294 0.171
S2 0.271 0.500 0.671
S3 0.276 0.000 0.612
```


What is the M_tot in the seventh record? 0.0 μB/cell


M_tot of number 5 (HgSb2Ru2)? 0.0 μB/cell


What is the M_tot in the fifth record? 0.0 μB/cell